No. 1
A relaxed HoGa2Au3 crystal, computed with PBE.

Computed properties:
DOS(E_F): 1.74 states/eV/f.u.
relative energy among the computed polymorphs: 28 meV/atom
energy of formation: -3.03 eV/f.u.
E: -3.9161 eV/atom
magnetization: 0.00 μB per cell
volume: 19.80 A^3/atom

Cell lengths 17.0864, 4.1822, 10.4358 Å; angles 90.00, 107.05, 90.00 degrees
Space group C2/m (No. 12)
Asymmetric unit:
1 Ho 0.0000 0.0000 0.0000 x2
2 Ho 0.1522 0.0000 0.6898 x4
3 Ga 0.0375 0.5000 0.7748 x4
4 Ga 0.1396 0.5000 0.4486 x4
5 Ga 0.1973 0.0000 0.1232 x4
6 Au 0.0000 0.5000 0.5000 x2
7 Au 0.0424 0.0000 0.3292 x4
8 Au 0.1098 0.5000 0.1734 x4
9 Au 0.1738 0.5000 0.9489 x4
10 Au 0.2233 0.0000 0.3769 x4



No. 2
A relaxed Y6In5Hg crystal, computed with PBE.

Computed properties:
DOS(E_F): 8.18 states/eV/f.u.
energy of formation: -6.04 eV/f.u.
E: -4.9017 eV/atom
magnetization: 0.00 μB per cell
volume: 26.59 A^3/atom

Cell lengths 5.3345, 7.4652, 8.4418 Å; angles 90.00, 108.36, 90.00 degrees
Space group P2/m (No. 10)
Asymmetric unit:
1 Y 0.0000 0.2474 0.0000 x2
2 Y 0.3346 0.2487 0.6690 x4
3 In 0.1659 0.0000 0.3318 x2
4 In 0.1671 0.5000 0.3342 x2
5 In 0.5000 0.5000 0.0000 x1
6 Hg 0.5000 0.0000 0.0000 x1



No. 3
A relaxed KNa2TlPb crystal, computed with PBE.

Computed properties:
DOS(E_F): 1.95 states/eV/f.u.
relative energy among the computed polymorphs: 0 meV/atom
energy of formation: -0.03 eV/f.u.
E: -1.9675 eV/atom
magnetization: 0.00 μB per cell
volume: 44.12 A^3/atom

Cell lengths 6.0359, 6.0359, 6.0555 Å; angles 90.00, 90.00, 90.00 degrees
Space group P4/mmm (No. 123)
Asymmetric unit:
1 K 0.0000 0.0000 0.0000 x1
2 Na 0.0000 0.5000 0.5000 x2
3 Tl 0.5000 0.5000 0.0000 x1
4 Pb 0.5000 0.5000 0.5000 x1



No. 4
A relaxed Ce5GeRu2 crystal, computed with PBE.

Computed properties:
DOS(E_F): 15.27 states/eV/f.u.
relative energy among the computed polymorphs: 0 meV/atom
energy of formation: -3.30 eV/f.u.
E: -7.0170 eV/atom
magnetization: 3.38 μB per cell
volume: 23.51 A^3/atom

Cell lengths 4.4419, 10.8559, 15.6027 Å; angles 90.00, 90.00, 90.00 degrees
Space group Cmcm (No. 63)
Asymmetric unit:
1 Ce 0.0000 0.0769 0.1114 x8
2 Ce 0.0000 0.2196 0.7500 x4
3 Ce 0.0000 0.3990 0.0735 x8
4 Ge 0.0000 0.4940 0.2500 x4
5 Ru 0.0000 0.2527 0.5784 x8



No. 5
A relaxed PuZrOs crystal, computed with PBE.

Computed properties:
DOS(E_F): 7.23 states/eV/f.u.
energy of formation: -0.19 eV/f.u.
E: -11.4330 eV/atom
magnetization: 21.67 μB per cell
volume: 21.66 A^3/atom

Cell lengths 3.2586, 3.2586, 24.4779 Å; angles 90.00, 90.00, 90.00 degrees
Space group I4/mmm (No. 139)
Asymmetric unit:
1 Pu 0.0000 0.0000 0.0659 x4
2 Zr 0.0000 0.0000 0.2056 x4
3 Os 0.0000 0.0000 0.3602 x4



No. 6
A relaxed LaTa2CrBi crystal, computed with PBE.

Computed properties:
DOS(E_F): 9.55 states/eV/f.u.
energy of formation: 11.56 eV/f.u.
E: -6.1149 eV/atom
magnetization: 1.40 μB per cell
volume: 31.49 A^3/atom

Cell lengths 5.1852, 5.1852, 5.8563 Å; angles 90.00, 90.00, 90.00 degrees
Space group P4/mmm (No. 123)
Asymmetric unit:
1 La 0.0000 0.0000 0.0000 x1
2 Ta 0.0000 0.5000 0.5000 x2
3 Cr 0.5000 0.5000 0.0000 x1
4 Bi 0.0000 0.0000 0.5000 x1



Q: Number 2 is which compound?
A: Y6In5Hg